Below is an optimized crystal structure of HoZnIn, with properties calculated at the PBE-GGA level.

Results
DFT total energy ... -3.28 eV/atom
Crystal system ... hexagonal

Cell: 4.6740 4.6740 7.1294 Å, 90.00 90.00 120.00°
Space group P6_3/mmc (No. 194)
Asymmetric unit:
Ho  0.0000  0.0000  0.0000 x2
Zn  0.3333  0.6667  0.2500 x2
In  0.3333  0.6667  0.7500 x2